Version w
{"formula": "SmHgI", "functional": "PBE", "state": "relaxed", "lattice": [[7.598, 0.000, 0.000], [0.000, 4.384, 0.000], [-0.307, 0.000, 12.774]], "species": ["Sm", "Sm", "Sm", "Sm", "Hg", "Hg", "Hg", "Hg", "I", "I", "I", "I"], "frac_coords": [[0.008, 0.000, 0.193], [0.492, 0.500, 0.807], [0.508, 0.500, 0.193], [0.992, 0.000, 0.807], [0.164, 0.500, 0.942], [0.336, 0.000, 0.058], [0.664, 0.000, 0.942], [0.836, 0.500, 0.058], [0.181, 0.500, 0.349], [0.319, 0.000, 0.651], [0.681, 0.000, 0.349], [0.819, 0.500, 0.651]], "density_g_cm3": 7.5}


Version x
{"formula": "SmHgI", "functional": "PBE", "state": "relaxed", "lattice": [[6.330, 0.000, 0.000], [0.000, 4.450, 0.000], [-2.648, 0.000, 7.298]], "species": ["Sm", "Sm", "Hg", "Hg", "I", "I"], "frac_coords": [[0.073, 0.250, 0.309], [0.927, 0.750, 0.691], [0.361, 0.750, 0.544], [0.639, 0.250, 0.456], [0.235, 0.250, 0.955], [0.765, 0.750, 0.045]], "density_g_cm3": 7.7}


Tell me which of them is the most stable. Sure, it is version w.


Version w
{"formula": "Sn2Hg2I", "functional": "PBE", "state": "relaxed", "lattice": [[8.842, 0.000, 0.000], [0.000, 8.842, 0.000], [0.000, 0.000, 3.803]], "species": ["Sn", "Sn", "Sn", "Sn", "Hg", "Hg", "Hg", "Hg", "I", "I"], "frac_coords": [[0.128, 0.372, 0.000], [0.372, 0.872, 0.000], [0.628, 0.128, 0.000], [0.872, 0.628, 0.000], [0.166, 0.666, 0.500], [0.334, 0.166, 0.500], [0.666, 0.834, 0.500], [0.834, 0.334, 0.500], [0.000, 0.000, 0.500], [0.500, 0.500, 0.500]], "density_g_cm3": 8.6}


Version x
{"formula": "Sn2Hg2I", "functional": "PBE", "state": "relaxed", "lattice": [[8.591, 0.000, 0.000], [0.000, 8.591, 0.000], [0.000, 0.000, 4.052]], "species": ["Sn", "Sn", "Sn", "Sn", "Hg", "Hg", "Hg", "Hg", "I", "I"], "frac_coords": [[0.131, 0.369, 0.000], [0.369, 0.869, 0.000], [0.631, 0.131, 0.000], [0.869, 0.631, 0.000], [0.172, 0.672, 0.500], [0.328, 0.172, 0.500], [0.672, 0.828, 0.500], [0.828, 0.328, 0.500], [0.000, 0.000, 0.000], [0.500, 0.500, 0.000]], "density_g_cm3": 8.5}


Tell me which of them is the most stable. Sure, it is version x.


Version w
{"formula": "SnHgI4", "functional": "PBE", "state": "relaxed", "lattice": [[7.876, 0.000, 0.000], [0.000, 4.498, 0.000], [-6.983, 0.000, 14.906]], "species": ["Sn", "Sn", "Hg", "Hg", "I", "I", "I", "I", "I", "I", "I", "I"], "frac_coords": [[0.000, 0.000, 0.000], [0.000, 0.500, 0.500], [0.500, 0.000, 0.500], [0.500, 0.500, 0.000], [0.055, 0.000, 0.375], [0.055, 0.500, 0.875], [0.451, 0.092, 0.118], [0.451, 0.408, 0.618], [0.549, 0.592, 0.382], [0.549, 0.908, 0.882], [0.945, 0.000, 0.625], [0.945, 0.500, 0.125]], "density_g_cm3": 5.2}


Version x
{"formula": "SnHgI4", "functional": "PBE", "state": "relaxed", "lattice": [[8.755, 0.000, 0.000], [0.000, 7.025, 0.000], [-2.328, 0.000, 8.681]], "species": ["Sn", "Sn", "Hg", "Hg", "I", "I", "I", "I", "I", "I", "I", "I"], "frac_coords": [[0.000, 0.000, 0.000], [0.000, 0.500, 0.500], [0.500, 0.000, 0.000], [0.500, 0.500, 0.500], [0.159, 0.199, 0.759], [0.159, 0.301, 0.259], [0.323, 0.737, 0.093], [0.323, 0.763, 0.593], [0.677, 0.237, 0.407], [0.677, 0.263, 0.907], [0.841, 0.699, 0.741], [0.841, 0.801, 0.241]], "density_g_cm3": 5.1}


Tell me which of them is the most stable. Sure, it is version w.